# 1
Pu2Zn15Pd2 (PBE, relaxed); space-group type = No. 166; formation energy = -226.7 meV/atom
1.0
6.810 -0.025 -0.022
0.859 6.756 -0.022
0.859 0.754 6.714
Zn Pu Pd
15 2 2
direct
0.500 0.000 0.000
0.352 0.847 0.352
0.352 0.352 0.847
0.712 0.000 0.288
0.153 0.648 0.648
0.648 0.648 0.153
0.000 0.712 0.288
0.648 0.153 0.648
0.000 0.000 0.500
0.000 0.288 0.712
0.288 0.000 0.712
0.288 0.712 0.000
0.000 0.500 0.000
0.847 0.352 0.352
0.712 0.288 0.000
0.342 0.342 0.342
0.658 0.658 0.658
0.889 0.889 0.889
0.111 0.111 0.111

# 2
Er5BiAu2 (PBE, relaxed); space-group type = No. 140; formation energy = -696.1 meV/atom; ΔE to the lowest computed polymorph = 0 meV per atom
1.0
8.668 0.026 0.000
1.125 8.595 0.000
-4.897 -4.311 5.708
Er Au Bi
10 4 2
direct
0.500 0.500 0.000
0.794 0.294 0.807
0.000 0.000 0.000
0.487 0.987 0.193
0.706 0.513 0.500
0.294 0.487 0.500
0.013 0.206 0.500
0.513 0.013 0.807
0.987 0.794 0.500
0.206 0.706 0.193
0.639 0.861 0.500
0.361 0.139 0.500
0.139 0.639 0.778
0.861 0.361 0.222
0.750 0.750 0.000
0.250 0.250 0.000

# 3
Sr2MgScO (PBE, relaxed); ΔE_f (raw) = -24.90 kcal/mol of atoms; space-group type = No. 123
1.0
5.710 0.000 0.000
0.000 5.710 0.000
0.000 0.000 4.147
Sr O Mg Sc
2 1 1 1
direct
0.500 0.000 0.000
0.000 0.500 0.000
0.000 0.000 0.000
0.500 0.500 0.500
0.000 0.000 0.500

# 4
CuRh3Br (PBE, relaxed); ΔE_f (raw) = 30.34 kcal/mol of atoms; space-group type = No. 221; ΔE to the lowest computed polymorph = 170 meV per atom
1.0
4.612 0.000 0.000
0.000 4.612 0.000
0.000 0.000 4.612
Br Rh Cu
1 3 1
direct
0.500 0.500 0.500
0.000 0.500 0.000
0.000 0.000 0.500
0.500 0.000 0.000
0.000 0.000 0.000

# 5
Tl2NiPbCl (PBE, relaxed); ΔE_f (raw) = 3.59 kcal/mol of atoms; space-group type = No. 123
1.0
6.073 0.000 0.000
0.000 4.076 0.000
0.000 0.000 6.073
Ni Cl Pb Tl
1 1 1 2
direct
0.000 0.500 0.000
0.000 0.000 0.000
0.500 0.500 0.500
0.000 0.000 0.500
0.500 0.000 0.000

# 6
AcTmRh2 (PBE, relaxed); space-group type = No. 166; formation energy = -678.5 meV/atom; ΔE to the lowest computed polymorph = 10 meV per atom
1.0
-4.454 0.191 -0.398
-1.894 -0.166 -4.053
-2.384 -5.498 -1.133
Ac Rh Tm
1 2 1
direct
0.500 0.500 0.500
0.722 0.722 0.835
0.278 0.278 0.165
0.000 0.000 0.000

# 7
YHPt2 (PBE, relaxed); space-group type = No. 166; ΔE to the lowest computed polymorph = 768 meV per atom
1.0
3.006 0.000 0.000
1.503 2.603 0.000
1.503 0.868 7.918
Pt Y H
2 1 1
direct
0.115 0.115 0.655
0.885 0.885 0.345
0.000 0.000 0.000
0.500 0.500 0.500

# 8
Y2PPt (PBE, relaxed); space-group type = No. 38; formation energy = -1333.4 meV/atom
1.0
1.956 -5.310 0.000
1.956 5.310 0.000
0.000 0.000 4.198
Y P Pt
2 1 1
direct
0.986 0.014 0.500
0.263 0.737 0.000
0.540 0.460 0.000
0.711 0.289 0.500

For the records above, the corresponding magnetization values read 0.588 0.000 0.000 0.732 0.001 0.000 0.000 0.000 μB per atom.
For the records above, the corresponding electronic total energy values read -3.29 -4.85 -4.33 -4.25 -3.06 -6.50 -5.29 -7.43 eV per atom.